Material: SiHRu2
Method: DFT, meta-GGA SCAN
State: PBEsol geometry

```
SiHRu2
1.0
3.953 0.000 0.000
1.976 3.423 0.000
1.976 1.141 3.227
H Ru Si
1 2 1
Cartesian
0.000 0.000 0.000
5.929 3.423 2.420
1.976 1.141 0.807
3.953 2.282 1.614
```

## Properties
Space-group type: Fm-3m (225)
Calculated total energy, eV/atom: -20.6189

Material: SiH2Ru
Method: DFT, meta-GGA SCAN
State: PBEsol geometry

```
SiH2Ru
1.0
3.629 0.000 0.000
0.000 3.629 0.000
-1.815 -1.815 5.219
Ru Si H
2 2 4
Cartesian
0.000 0.000 0.000
0.000 1.815 2.610
1.815 1.815 0.000
1.815 0.000 2.610
-0.907 -1.047 3.915
0.907 1.047 3.915
2.861 0.907 1.305
0.768 2.722 1.305
```

## Properties
Space-group type: I-42d (122)
Calculated total energy, eV/atom: -12.5152

Material: Sn3HRu
Method: DFT, meta-GGA SCAN
State: PBEsol geometry

```
Sn3HRu
1.0
-0.829 1.126 -4.198
2.421 -3.430 -1.398
-3.610 -2.559 0.027
Sn Ru H
3 1 1
Cartesian
-0.415 0.563 -2.099
-1.805 -1.279 0.013
1.210 -1.715 -0.699
-1.009 -2.431 -2.785
0.000 0.000 0.000
```

## Properties
Space-group type: Pm-3m (221)
Calculated total energy, eV/atom: -28.4697

Material: SnH3Ru
Method: DFT, meta-GGA SCAN
State: PBEsol geometry

```
SnH3Ru
1.0
-1.465 -1.155 3.263
-0.173 -3.514 -1.322
3.457 -0.666 1.317
H Ru Sn
3 1 1
Cartesian
-0.087 -1.757 -0.661
1.728 -0.333 0.658
-0.733 -0.577 1.631
0.909 -2.667 1.629
0.000 0.000 0.000
```

## Properties
Space-group type: Pm-3m (221)
Calculated total energy, eV/atom: -14.9195

Material: SrH3Ru
Method: DFT, meta-GGA SCAN
State: PBEsol geometry

```
SrH3Ru
1.0
-1.234 -3.690 -1.527
3.821 -1.556 0.671
-1.160 -1.198 3.833
Ru H Sr
1 3 1
Cartesian
0.713 -3.222 1.488
1.911 -0.778 0.335
-0.580 -0.599 1.916
-0.617 -1.845 -0.763
0.000 0.000 0.000
```

## Properties
Space-group type: Pm-3m (221)
Calculated total energy, eV/atom: -12.3962

Material: Sr2H2Ru
Method: DFT, meta-GGA SCAN
State: PBEsol geometry

```
Sr2H2Ru
1.0
-0.578 2.748 -2.221
-1.563 -2.217 -2.336
-5.275 0.921 5.399
Sr Ru H
2 1 2
Cartesian
-2.891 0.605 -1.384
-4.526 0.846 2.225
0.000 0.000 0.000
-3.955 -0.516 0.392
-3.462 1.967 0.450
```

## Properties
Space-group type: I4/mmm (139)
Calculated total energy, eV/atom: -17.1176

Material: TaHRu3
Method: DFT, meta-GGA SCAN
State: PBEsol geometry

```
TaHRu3
1.0
-0.112 -2.724 2.775
3.071 -1.764 -1.608
2.384 2.145 2.201
Ru Ta H
3 1 1
Cartesian
1.480 -2.244 0.583
2.728 0.190 0.297
1.136 -0.290 2.488
0.000 0.000 0.000
2.672 -1.172 1.684
```

## Properties
Space-group type: Pm-3m (221)
Calculated total energy, eV/atom: -35.1416

Material: Tl2TcHRu
Method: DFT, meta-GGA SCAN
State: PBEsol geometry

```
Tl2TcHRu
1.0
3.386 0.000 0.000
0.000 4.647 0.000
0.000 0.000 4.647
Tc Ru Tl H
1 1 2 1
Cartesian
1.693 0.000 0.000
1.693 2.324 2.324
0.000 2.324 0.000
0.000 0.000 2.324
0.000 0.000 0.000
```

## Properties
Space-group type: P4/mmm (123)
Calculated total energy, eV/atom: -42.8519

Material: TiHRu3
Method: DFT, meta-GGA SCAN
State: PBEsol geometry

```
TiHRu3
1.0
-0.135 -3.287 -2.001
3.750 -0.562 0.669
-0.863 -1.925 3.221
Ru H Ti
3 1 1
Cartesian
1.875 -0.281 0.335
-0.432 -0.963 1.610
-0.068 -1.643 -1.001
0.000 0.000 0.000
1.376 -2.887 0.944
```

## Properties
Space-group type: Pm-3m (221)
Calculated total energy, eV/atom: -25.0115

Material: Ti3HRu
Method: DFT, meta-GGA SCAN
State: PBEsol geometry

```
Ti3HRu
1.0
-1.378 0.668 3.667
-3.725 -0.381 -1.330
0.128 -3.899 0.758
Ti Ru H
3 1 1
Cartesian
-0.689 0.334 1.833
0.064 -1.949 0.379
-1.862 -0.190 -0.665
-2.487 -1.806 1.547
0.000 0.000 0.000
```

## Properties
Space-group type: Pm-3m (221)
Calculated total energy, eV/atom: -17.5672

Material: YTiH2Ru
Method: DFT, meta-GGA SCAN
State: PBEsol geometry

```
YTiH2Ru
1.0
3.897 0.000 0.000
0.000 3.897 0.000
0.000 0.000 4.506
Y Ru H Ti
1 1 2 1
Cartesian
1.948 1.948 2.253
0.000 0.000 0.000
0.000 1.948 0.000
1.948 0.000 0.000
0.000 0.000 2.253
```

## Properties
Space-group type: P4/mmm (123)
Calculated total energy, eV/atom: -16.7488

Material: V3HRu
Method: DFT, meta-GGA SCAN
State: PBEsol geometry

```
V3HRu
1.0
3.792 0.000 0.000
0.000 3.792 0.000
0.000 0.000 3.792
V Ru H
3 1 1
Cartesian
0.000 0.000 1.896
1.896 0.000 0.000
0.000 1.896 0.000
1.896 1.896 1.896
0.000 0.000 0.000
```

## Properties
Space-group type: Pm-3m (221)
Calculated total energy, eV/atom: -18.2572